# CsCoC3N3, optimized geometry, DFT PBE-GGA
# VASP energy: -7.566 eV/atom
# Total moment: 1.000 μB/f.u.
data_CsCoC3N3
_cell_length_a 10.130
_cell_length_b 10.130
_cell_length_c 10.130
_cell_angle_alpha 90.00
_cell_angle_beta 90.00
_cell_angle_gamma 90.00
_space_group_name_H-M_alt 'F m -3 m'
_space_group_IT_number 225
_space_group_name_Hall '-F 4 2 3'
loop_
_atom_site_label
_atom_site_fract_x
_atom_site_fract_y
_atom_site_fract_z
Cs1 0.250 0.250 0.250
Co1 0.000 0.000 0.000
Co2 0.000 0.000 0.500
C1 0.000 0.000 0.185
N1 0.000 0.000 0.301